First-principles (PBE+U) data for a relaxed structure of TcNiF2, as listed in the Alexandria database.

As for the space-group type: Fm-3m. The total energy is -4.167 eV/atom. The calculation puts the density at 6.4 g cm⁻³. For the size of the total moment, the calculation gives 5.2 μB/cell. The value obtained for the calculated volume is 50.8 Å³/cell.

abc: 4.1576 4.1576 4.1576
angles: 60.00 60.00 60.00
Positions (direct):
Tc  0.0000  0.0000  0.0000
Ni  0.5000  0.5000  0.5000
F  0.2500  0.2500  0.2500
F  0.7500  0.7500  0.7500